Record 1
HfNb2Cu: relaxed, GGA-PBE.

Energy, eV per atom: -8.384
Energy of formation from the pure elements, eV/atom: 0.081
Calculated volume, Å³/cell: 70

a = 4.6250 Å, b = 4.6250 Å, c = 4.6250 Å
α = 60.00°, β = 60.00°, γ = 60.00°
Last column: nearest neighbours and their distance in Å.
Fractional coordinates of all 4 atoms:
Hf (0.0000, 0.0000, 0.0000)  4 Nb 2.83, 4 Cu 2.83
Nb (0.5000, 0.5000, 0.5000)  4 Nb 2.83, 4 Cu 2.83
Nb (0.7500, 0.7500, 0.7500)  4 Nb 2.83, 4 Hf 2.83
Cu (0.2500, 0.2500, 0.2500)  4 Nb 2.83, 4 Hf 2.83

***

Record 2
SrAgSeF: relaxed, GGA-PBE.

Energy, eV per atom: -4.508
Calculated volume, Å³/cell: 160

a = 4.1639 Å, b = 4.1639 Å, c = 9.2284 Å
α = 90.00°, β = 90.00°, γ = 90.00°
Last column: nearest neighbours and their distance in Å.
Fractional coordinates of all 8 atoms:
Sr (0.2500, 0.2500, 0.1510)  4 F 2.51
Sr (0.7500, 0.7500, 0.8490)  4 F 2.51
Ag (0.2500, 0.7500, 0.5000)  4 Se 2.77, 4 Ag 2.94
Ag (0.7500, 0.2500, 0.5000)  4 Se 2.77, 4 Ag 2.94
Se (0.2500, 0.2500, 0.6987)  4 Ag 2.77
Se (0.7500, 0.7500, 0.3013)  4 Ag 2.77
F (0.2500, 0.7500, 0.0000)  4 Sr 2.51
F (0.7500, 0.2500, 0.0000)  4 Sr 2.51

***

Record 3
ErBO3: relaxed, GGA-PBE.

Energy, eV per atom: -8.368
Calculated volume, Å³/cell: 318

a = 6.4669 Å, b = 6.4669 Å, c = 9.5038 Å
α = 109.52°, β = 109.52°, γ = 60.07°
Last column: nearest neighbours and their distance in Å.
Fractional coordinates of all 30 atoms:
Er (0.0000, 0.5000, 0.0000)  8 O 2.22-2.43
Er (0.1588, 0.6701, 0.5006)  8 O 2.21-2.43
Er (0.3299, 0.8412, 0.9994)  8 O 2.21-2.43
Er (0.5000, 0.0000, 0.5000)  8 O 2.22-2.43
Er (0.6701, 0.1588, 0.0006)  8 O 2.21-2.43
Er (0.8412, 0.3299, 0.4994)  8 O 2.21-2.43
B (0.1742, 0.8258, 0.2500)  4 O 1.44-1.51
B (0.3405, 0.4178, 0.7533)  4 O 1.45-1.51
B (0.4178, 0.3405, 0.2533)  4 O 1.45-1.51
B (0.5822, 0.6595, 0.7467)  4 O 1.45-1.51
B (0.6595, 0.5822, 0.2467)  4 O 1.45-1.51
B (0.8258, 0.1742, 0.7500)  4 O 1.44-1.51
O (0.0158, 0.8866, 0.1067)  1 B 1.44
O (0.1134, 0.9842, 0.3933)  1 B 1.44
O (0.1825, 0.3699, 0.6104)  1 B 1.45
O (0.1972, 0.5831, 0.2519)  2 B 1.50-1.51
O (0.2816, 0.4666, 0.8990)  1 B 1.45
O (0.3621, 0.6379, 0.7500)  2 B 1.51
O (0.3699, 0.1825, 0.1104)  1 B 1.45
O (0.4169, 0.8028, 0.2481)  2 B 1.50-1.51
O (0.4666, 0.2816, 0.3990)  1 B 1.45
O (0.5334, 0.7184, 0.6010)  1 B 1.45
O (0.5831, 0.1972, 0.7519)  2 B 1.50-1.51
O (0.6301, 0.8175, 0.8896)  1 B 1.45
O (0.6379, 0.3621, 0.2500)  2 B 1.51
O (0.7184, 0.5334, 0.1010)  1 B 1.45
O (0.8028, 0.4169, 0.7481)  2 B 1.50-1.51
O (0.8175, 0.6301, 0.3896)  1 B 1.45
O (0.8866, 0.0158, 0.6067)  1 B 1.44
O (0.9842, 0.1134, 0.8933)  1 B 1.44

***

Record 4
PrDyPO: relaxed, GGA-PBE.

Energy, eV per atom: -6.710
ΔE to the lowest computed polymorph, meV per atom: 222
Calculated volume, Å³/cell: 167

a = 4.3300 Å, b = 4.3300 Å, c = 8.9234 Å
α = 90.00°, β = 90.00°, γ = 90.00°
Last column: nearest neighbours and their distance in Å.
Fractional coordinates of all 8 atoms:
Pr (0.2500, 0.7500, 0.0000)  4 P 2.88, 4 Pr 3.06
Pr (0.7500, 0.2500, 0.0000)  4 P 2.88, 4 Pr 3.06
Dy (0.2500, 0.2500, 0.4048)  4 O 2.33
Dy (0.7500, 0.7500, 0.5952)  4 O 2.33
P (0.2500, 0.2500, 0.7864)  4 Pr 2.88
P (0.7500, 0.7500, 0.2136)  4 Pr 2.88
O (0.2500, 0.7500, 0.5000)  4 Dy 2.33
O (0.7500, 0.2500, 0.5000)  4 Dy 2.33